No. 1
DFT (PBE) results for ScPaCuRe after structural relaxation.

Values from the calculation:
Formation energy   -0.07 eV/atom
VASP energy   -32.66 eV/cell

POSCAR file:
```
ScPaCuRe
1.0
0.0000 3.3635 3.3635
3.3635 0.0000 3.3635
3.3635 3.3635 0.0000
Sc Pa Cu Re
1 1 1 1
direct
0.0000 0.0000 0.0000
0.5000 0.5000 0.5000
0.7500 0.7500 0.7500
0.2500 0.2500 0.2500
```



No. 2
DFT (PBE) results for PaCuReSi2 after structural relaxation.

Values from the calculation:
VASP energy   -38.76 eV/cell
Formation energy without anion corrections   -180.5 kJ/mol of formula units

POSCAR file:
```
PaCuReSi2
1.0
-1.9833 1.9833 5.2226
1.9833 -1.9833 5.2226
1.9833 1.9833 -5.2226
Pa Cu Re Si
1 1 1 2
direct
0.0000 0.0000 0.0000
0.2500 0.7500 0.5000
0.7500 0.2500 0.5000
0.3852 0.3852 0.0000
0.6148 0.6148 0.0000
```



No. 3
DFT (PBE) results for TbPaCuRe after structural relaxation.

Values from the calculation:
Formation energy   0.04 eV/atom
VASP energy   -30.50 eV/cell

POSCAR file:
```
TbPaCuRe
1.0
0.0000 3.4577 3.4577
3.4577 0.0000 3.4577
3.4577 3.4577 0.0000
Tb Pa Cu Re
1 1 1 1
direct
0.0000 0.0000 0.0000
0.5000 0.5000 0.5000
0.7500 0.7500 0.7500
0.2500 0.2500 0.2500
```